[1]
# MgReTe2

MgReTe2 after structural relaxation (PBE, Alexandria via LeMat-Bulk).

Unit cell a=3.321 b=3.321 c=7.833 alpha=90.00 beta=90.00 gamma=90.00
Sites, in units of the cell vectors:
Mg 0.000 0.000 0.000
Re 0.000 0.000 0.500
Te 0.500 0.500 0.287
Te 0.500 0.500 0.713

Results
Calculated total energy ... -4.74 eV/atom
DOS(E_F) ... 2.4 states/eV/cell
Space group ... P4/mmm (123)
Calculated volume ... 21.594 A^3/atom


[2]
# PmUCo4

PmUCo4 after structural relaxation (PBE, Alexandria via LeMat-Bulk).

Unit cell a=5.003 b=5.003 c=5.003 alpha=60.00 beta=60.00 gamma=60.00
Sites, in units of the cell vectors:
Pm 0.000 0.000 0.000
U 0.250 0.250 0.250
Co 0.128 0.624 0.624
Co 0.624 0.128 0.624
Co 0.624 0.624 0.128
Co 0.624 0.624 0.624

Results
Energy of formation ... -0.0643 eV/atom
DOS(E_F) ... 9.0 states/eV/cell
Space group ... F-43m (216)
Calculated volume ... 14.761 A^3/atom


[3]
# ZnCl2

ZnCl2 after structural relaxation (PBE, Alexandria via LeMat-Bulk).

Unit cell a=8.709 b=8.709 c=5.301 alpha=90.00 beta=90.00 gamma=156.71
Sites, in units of the cell vectors:
Zn 0.182 0.818 0.750
Zn 0.818 0.182 0.250
Cl 0.210 0.790 0.250
Cl 0.407 0.593 0.250
Cl 0.593 0.407 0.750
Cl 0.790 0.210 0.750

Results
Calculated total energy ... -2.69 eV/atom
DOS(E_F) ... 0.0 states/eV/cell
Space group ... Cmcm (63)
Calculated volume ... 26.499 A^3/atom


[4]
# Ba2ZnGe4Pd3

Ba2ZnGe4Pd3 after structural relaxation (PBE, Alexandria via LeMat-Bulk).

Unit cell a=4.529 b=4.529 c=10.565 alpha=90.00 beta=90.00 gamma=90.00
Sites, in units of the cell vectors:
Ba 0.000 0.500 0.249
Ba 0.500 0.000 0.751
Zn 0.000 0.000 0.500
Ge 0.000 0.000 0.000
Ge 0.000 0.500 0.628
Ge 0.500 0.000 0.372
Ge 0.500 0.500 0.000
Pd 0.000 0.500 0.878
Pd 0.500 0.000 0.122
Pd 0.500 0.500 0.500

Results
Energy of formation ... -0.5806 eV/atom
DOS(E_F) ... 4.7 states/eV/cell
Space group ... P-4m2 (115)
Calculated volume ... 21.676 A^3/atom


[5]
# CsTl12Pd4

CsTl12Pd4 after structural relaxation (PBE, Alexandria via LeMat-Bulk).

Unit cell a=8.735 b=8.735 c=8.735 alpha=109.47 beta=109.47 gamma=109.47
Sites, in units of the cell vectors:
Cs 0.000 0.000 0.000
Tl 0.168 0.339 0.830
Tl 0.170 0.509 0.339
Tl 0.170 0.832 0.661
Tl 0.339 0.170 0.509
Tl 0.339 0.830 0.168
Tl 0.491 0.661 0.830
Tl 0.509 0.339 0.170
Tl 0.661 0.170 0.832
Tl 0.661 0.830 0.491
Tl 0.830 0.168 0.339
Tl 0.830 0.491 0.661
Tl 0.832 0.661 0.170
Pd 0.000 0.000 0.500
Pd 0.000 0.500 0.000
Pd 0.500 0.000 0.000
Pd 0.500 0.500 0.500

Results
Energy of formation ... -0.0456 eV/atom
DOS(E_F) ... 10.2 states/eV/cell
Space group ... Im-3 (204)
Calculated volume ... 30.180 A^3/atom


[6]
# Li2TaW

Li2TaW after structural relaxation (PBE, Alexandria via LeMat-Bulk).

Unit cell a=2.742 b=2.742 c=9.681 alpha=90.00 beta=90.00 gamma=109.18
Sites, in units of the cell vectors:
Li 0.000 0.000 0.000
Li 0.500 0.500 0.262
Ta 0.000 0.000 0.523
W 0.500 0.500 0.759

Results
Energy relative to the lowest polymorph listed for this composition ... 0.00 kcal/mol of atoms
Energy of formation ... 0.2362 eV/atom
DOS(E_F) ... 2.5 states/eV/cell
Space group ... Cmm2 (35)
Calculated volume ... 17.187 A^3/atom